TiTl2FeS | PBE | relaxed

a b c (Å): 5.5659 5.5659 4.4911
angles (deg): 90.00 90.00 90.00
Site moments in Bohr magnetons follow the coordinates.
Fractional coordinates of all 5 atoms:
S 0.0000 0.0000 0.5000  0.05
Tl 0.0000 0.5000 0.0000  -0.04
Tl 0.5000 0.0000 0.0000  -0.04
Fe 0.5000 0.5000 0.5000  3.29
Ti 0.0000 0.0000 0.0000  -0.40

Output
The mass density is 6.5 g cm⁻³. As for the electronic total energy: -22.29 eV for the cell shown. Its symmetry is P4/mmm (123). Its raw formation energy is 0.585 eV per atom.

TiCuBi2Cl | PBE | relaxed

a b c (Å): 5.3860 4.4135 5.3860
angles (deg): 90.00 90.00 90.00
Fractional coordinates of all 5 atoms:
Cl 0.0000 0.5000 0.0000
Bi 0.0000 0.0000 0.5000
Bi 0.5000 0.0000 0.0000
Cu 0.0000 0.0000 0.0000
Ti 0.5000 0.5000 0.5000

Output
The mass density is 7.3 g cm⁻³. As for the electronic total energy: -19.14 eV for the cell shown. Its symmetry is P4/mmm (123). Its raw formation energy is 0.492 eV per atom.

Ca2Al3GePt4 | PBE | relaxed

a b c (Å): 4.3794 4.3794 9.9663
angles (deg): 90.00 90.00 90.00
Fractional coordinates of all 10 atoms:
Ca 0.5000 0.0000 0.2471
Ca 0.0000 0.5000 0.7529
Al 0.0000 0.0000 0.5000
Al 0.5000 0.0000 0.8762
Al 0.0000 0.5000 0.1238
Ge 0.5000 0.5000 0.5000
Pt 0.5000 0.5000 0.0000
Pt 0.0000 0.0000 0.0000
Pt 0.5000 0.0000 0.6292
Pt 0.0000 0.5000 0.3708

Output
The mass density is 8.8 g cm⁻³. The value obtained for the formation energy is -979 meV per atom. As for the electronic total energy: -53.80 eV for the cell shown. Its symmetry is P-4m2 (115).

SnH3Cl3 | PBE | relaxed

a b c (Å): 8.0382 7.6896 8.2492
angles (deg): 61.00 57.53 71.19
Fractional coordinates of all 14 atoms:
Sn 0.2208 0.0711 0.3446
Sn 0.7792 0.9289 0.6554
H 0.7275 0.8734 0.1465
H 0.9397 0.1547 0.4115
H 0.2873 0.4543 0.8218
H 0.7127 0.5457 0.1782
H 0.0603 0.8453 0.5885
H 0.2725 0.1266 0.8535
Cl 0.7333 0.4673 0.0579
Cl 0.2228 0.9155 0.1344
Cl 0.3242 0.2701 0.6604
Cl 0.6758 0.7299 0.3396
Cl 0.7772 0.0845 0.8656
Cl 0.2667 0.5327 0.9421

Output
The mass density is 2.0 g cm⁻³. As for the electronic total energy: -45.27 eV for the cell shown. Its symmetry is P-1 (2).

Question: What is the mass density in the fourth record?
Answer: 2.0 g cm⁻³

Copy entry 2 word for word.
TiCuBi2Cl | PBE | relaxed

a b c (Å): 5.3860 4.4135 5.3860
angles (deg): 90.00 90.00 90.00
Fractional coordinates of all 5 atoms:
Cl 0.0000 0.5000 0.0000
Bi 0.0000 0.0000 0.5000
Bi 0.5000 0.0000 0.0000
Cu 0.0000 0.0000 0.0000
Ti 0.5000 0.5000 0.5000

Output
The mass density is 7.3 g cm⁻³. As for the electronic total energy: -19.14 eV for the cell shown. Its symmetry is P4/mmm (123). Its raw formation energy is 0.492 eV per atom.

Question: electronic total energy of number 2 (TiCuBi2Cl)?
Answer: -19.14 eV for the cell shown

Question: Which value of mass density does entry 1 give?
Answer: 6.5 g cm⁻³